No. 1
An optimized crystal structure of Sr2MgP. Source: Alexandria via LeMat-Bulk, functional PBE-GGA.

Computed properties:
Space group   I-42d
Offset from the most stable computed form   0.281 eV per atom
ΔH_f (0 K)   -0.287 eV/atom
Magnetic moment   0.020 μB per atom
VASP energy   -46.059 eV for the cell shown

Cell lengths 8.723, 8.723, 7.732 Å; angles 90.00, 90.00, 90.00 degrees
Atoms (fractional coordinates):
Sr (0.189, 0.250, 0.125)
Sr (0.250, 0.689, 0.375)
Sr (0.250, 0.811, 0.875)
Sr (0.311, 0.250, 0.625)
Sr (0.689, 0.750, 0.625)
Sr (0.750, 0.189, 0.875)
Sr (0.750, 0.311, 0.375)
Sr (0.811, 0.750, 0.125)
Mg (0.000, 0.000, 0.500)
Mg (0.000, 0.500, 0.750)
Mg (0.500, 0.000, 0.250)
Mg (0.500, 0.500, 0.000)
P (0.000, 0.000, 0.000)
P (0.000, 0.500, 0.250)
P (0.500, 0.000, 0.750)
P (0.500, 0.500, 0.500)

No. 2
An optimized crystal structure of SrMgP2. Source: Alexandria via LeMat-Bulk, functional PBE-GGA.

Computed properties:
Space group   I-42d
ΔH_f (0 K)   -0.482 eV/atom
Magnetic moment   0.000 μB per atom
VASP energy   -64.096 eV for the cell shown

Cell lengths 5.185, 5.185, 16.074 Å; angles 90.00, 90.00, 90.00 degrees
Atoms (fractional coordinates):
Sr (0.000, 0.000, 0.000)
Sr (0.000, 0.500, 0.250)
Sr (0.500, 0.000, 0.750)
Sr (0.500, 0.500, 0.500)
Mg (0.000, 0.000, 0.500)
Mg (0.000, 0.500, 0.750)
Mg (0.500, 0.000, 0.250)
Mg (0.500, 0.500, 0.000)
P (0.067, 0.250, 0.625)
P (0.250, 0.567, 0.875)
P (0.250, 0.933, 0.375)
P (0.433, 0.250, 0.125)
P (0.567, 0.750, 0.125)
P (0.750, 0.067, 0.375)
P (0.750, 0.433, 0.875)
P (0.933, 0.750, 0.625)